# 1
Material: AgRu2Cl
Method: DFT, GGA-PBEsol
State: optimized geometry

a b c (Å): 4.5995 4.5995 2.8109
angles (deg): 90.00 90.00 102.31
Atoms (fractional coordinates):
Ag (0.0000, 0.0000, 0.0000)
Ru (0.0000, 0.5000, 0.5000)
Ru (0.5000, 0.0000, 0.5000)
Cl (0.5000, 0.5000, 0.0000)

DOS(E_F) (states/eV/atom): 1.16
Crystal system: orthorhombic
Energy relative to the elements, uncorrected (meV per atom): 1019
SG: Cmmm (65)

# 2
Material: AgRuCl2
Method: DFT, GGA-PBEsol
State: optimized geometry

a b c (Å): 3.0660 3.9753 5.8123
angles (deg): 90.00 90.00 90.00
Atoms (fractional coordinates):
Ag (0.0000, 0.0000, 0.0000)
Ru (0.5000, 0.0000, 0.5000)
Cl (0.0000, 0.5000, 0.5000)
Cl (0.5000, 0.5000, 0.0000)

DOS(E_F) (states/eV/atom): 0.87
Crystal system: orthorhombic
Energy relative to the elements, uncorrected (meV per atom): 459
SG: Pmmm (47)
ΔE to the lowest computed polymorph (meV per atom): 0

# 3
Material: AgSbS2Cl
Method: DFT, GGA-PBEsol
State: optimized geometry

a b c (Å): 4.7072 4.7072 4.7922
angles (deg): 90.00 90.00 90.00
Atoms (fractional coordinates):
Ag (0.0000, 0.0000, 0.0000)
Sb (0.5000, 0.5000, 0.0000)
S (0.0000, 0.5000, 0.5000)
S (0.5000, 0.0000, 0.5000)
Cl (0.0000, 0.0000, 0.5000)

DOS(E_F) (states/eV/atom): 0.67
Crystal system: tetragonal
Energy relative to the elements, uncorrected (meV per atom): 739
SG: P4/mmm (123)

# 4
Material: SiAgS2Cl
Method: DFT, GGA-PBEsol
State: optimized geometry

a b c (Å): 4.2862 4.2862 5.4898
angles (deg): 90.00 90.00 90.00
Atoms (fractional coordinates):
Si (0.0000, 0.0000, 0.0000)
Ag (0.0000, 0.0000, 0.5000)
S (0.0000, 0.5000, 0.0000)
S (0.5000, 0.0000, 0.0000)
Cl (0.5000, 0.5000, 0.5000)

DOS(E_F) (states/eV/atom): 0.36
Crystal system: tetragonal
Energy relative to the elements, uncorrected (meV per atom): 238
SG: P4/mmm (123)

# 5
Material: TaAgS2Cl
Method: DFT, GGA-PBEsol
State: optimized geometry

a b c (Å): 4.7233 4.7233 4.5883
angles (deg): 90.00 90.00 90.00
Atoms (fractional coordinates):
Ta (0.0000, 0.0000, 0.0000)
Ag (0.5000, 0.5000, 0.5000)
S (0.0000, 0.5000, 0.5000)
S (0.5000, 0.0000, 0.5000)
Cl (0.5000, 0.5000, 0.0000)

DOS(E_F) (states/eV/atom): 0.94
Crystal system: tetragonal
Energy relative to the elements, uncorrected (meV per atom): 956
SG: P4/mmm (123)

# 6
Material: TcAgS2Cl
Method: DFT, GGA-PBEsol
State: optimized geometry

a b c (Å): 4.4711 4.4711 5.0449
angles (deg): 90.00 90.00 90.00
Atoms (fractional coordinates):
Tc (0.0000, 0.0000, 0.0000)
Ag (0.5000, 0.5000, 0.5000)
S (0.0000, 0.5000, 0.0000)
S (0.5000, 0.0000, 0.0000)
Cl (0.0000, 0.0000, 0.5000)

DOS(E_F) (states/eV/atom): 0.61
Crystal system: tetragonal
Energy relative to the elements, uncorrected (meV per atom): 148
SG: P4/mmm (123)

# 7
Material: TiAgSCl2
Method: DFT, GGA-PBEsol
State: optimized geometry

a b c (Å): 4.7745 4.7745 4.9105
angles (deg): 90.00 90.00 90.00
Atoms (fractional coordinates):
Ti (0.0000, 0.0000, 0.0000)
Ag (0.5000, 0.5000, 0.5000)
S (0.5000, 0.5000, 0.0000)
Cl (0.0000, 0.5000, 0.5000)
Cl (0.5000, 0.0000, 0.5000)

DOS(E_F) (states/eV/atom): 1.67
Crystal system: tetragonal
Energy relative to the elements, uncorrected (meV per atom): 179
SG: P4/mmm (123)

# 8
Material: TlAgS2Cl
Method: DFT, GGA-PBEsol
State: optimized geometry

a b c (Å): 4.9821 4.9821 5.2876
angles (deg): 90.00 90.00 90.00
Atoms (fractional coordinates):
Tl (0.0000, 0.0000, 0.0000)
Ag (0.5000, 0.5000, 0.5000)
S (0.0000, 0.5000, 0.0000)
S (0.5000, 0.0000, 0.0000)
Cl (0.0000, 0.0000, 0.5000)

DOS(E_F) (states/eV/atom): 1.20
Crystal system: tetragonal
Energy relative to the elements, uncorrected (meV per atom): 524
SG: P4/mmm (123)

# 9
Material: AgWSCl2
Method: DFT, GGA-PBEsol
State: optimized geometry

a b c (Å): 4.6955 4.6955 4.9643
angles (deg): 90.00 90.00 90.00
Atoms (fractional coordinates):
Ag (0.0000, 0.0000, 0.0000)
W (0.5000, 0.5000, 0.5000)
S (0.0000, 0.0000, 0.5000)
Cl (0.0000, 0.5000, 0.0000)
Cl (0.5000, 0.0000, 0.0000)

DOS(E_F) (states/eV/atom): 1.10
Crystal system: tetragonal
Energy relative to the elements, uncorrected (meV per atom): 1195
SG: P4/mmm (123)

# 10
Material: ZrAgS2Cl
Method: DFT, GGA-PBEsol
State: optimized geometry

a b c (Å): 4.7437 4.7437 4.6439
angles (deg): 90.00 90.00 90.00
Atoms (fractional coordinates):
Zr (0.0000, 0.0000, 0.0000)
Ag (0.5000, 0.5000, 0.5000)
S (0.0000, 0.5000, 0.5000)
S (0.5000, 0.0000, 0.5000)
Cl (0.5000, 0.5000, 0.0000)

DOS(E_F) (states/eV/atom): 1.01
Crystal system: tetragonal
Energy relative to the elements, uncorrected (meV per atom): 173
SG: P4/mmm (123)

# 11
Material: AgSbCl2
Method: DFT, GGA-PBEsol
State: optimized geometry

a b c (Å): 5.1678 5.1678 3.1834
angles (deg): 90.00 90.00 99.81
Atoms (fractional coordinates):
Ag (0.0000, 0.0000, 0.0000)
Sb (0.5000, 0.5000, 0.0000)
Cl (0.0000, 0.5000, 0.5000)
Cl (0.5000, 0.0000, 0.5000)

DOS(E_F) (states/eV/atom): 0.59
Crystal system: orthorhombic
Energy relative to the elements, uncorrected (meV per atom): 11
SG: Cmmm (65)
ΔE to the lowest computed polymorph (meV per atom): 316

# 12
Material: AgSbCl2
Method: DFT, GGA-PBEsol
State: optimized geometry

a b c (Å): 3.4458 8.1282 8.1282
angles (deg): 24.42 90.00 90.00
Atoms (fractional coordinates):
Ag (0.0000, 0.0000, 0.0000)
Sb (0.5000, 0.3921, 0.3921)
Cl (0.0000, 0.2636, 0.2636)
Cl (0.5000, 0.5818, 0.5818)

DOS(E_F) (states/eV/atom): 0.26
Crystal system: orthorhombic
Energy relative to the elements, uncorrected (meV per atom): -304
SG: Amm2 (38)
ΔE to the lowest computed polymorph (meV per atom): 0

# 13
Material: AgSb4Cl
Method: DFT, GGA-PBEsol
State: optimized geometry

a b c (Å): 6.1143 6.1143 6.1143
angles (deg): 60.00 60.00 60.00
Atoms (fractional coordinates):
Ag (0.0000, 0.0000, 0.0000)
Sb (0.1424, 0.6192, 0.6192)
Sb (0.6192, 0.1424, 0.6192)
Sb (0.6192, 0.6192, 0.1424)
Sb (0.6192, 0.6192, 0.6192)
Cl (0.2500, 0.2500, 0.2500)

DOS(E_F) (states/eV/atom): 0.21
Crystal system: cubic
Energy relative to the elements, uncorrected (meV per atom): 255
SG: F-43m (216)

# 14
Material: AgSbCl4
Method: DFT, GGA-PBEsol
State: optimized geometry

a b c (Å): 5.6911 5.6911 5.6911
angles (deg): 60.00 60.00 60.00
Atoms (fractional coordinates):
Ag (0.0000, 0.0000, 0.0000)
Sb (0.2500, 0.2500, 0.2500)
Cl (0.1225, 0.6258, 0.6258)
Cl (0.6258, 0.1225, 0.6258)
Cl (0.6258, 0.6258, 0.1225)
Cl (0.6258, 0.6258, 0.6258)

DOS(E_F) (states/eV/atom): 0.82
Crystal system: cubic
Energy relative to the elements, uncorrected (meV per atom): 544
SG: F-43m (216)

# 15
Material: AgSb2Cl
Method: DFT, GGA-PBEsol
State: optimized geometry

a b c (Å): 9.4454 9.4454 9.4454
angles (deg): 20.41 20.41 20.41
Atoms (fractional coordinates):
Ag (0.0000, 0.0000, 0.0000)
Sb (0.2530, 0.2530, 0.2530)
Sb (0.7470, 0.7470, 0.7470)
Cl (0.5000, 0.5000, 0.5000)

DOS(E_F) (states/eV/atom): 0.37
Crystal system: trigonal
Energy relative to the elements, uncorrected (meV per atom): 12
SG: R-3m (166)
ΔE to the lowest computed polymorph (meV per atom): 90

# 16
Material: AgSbCl2
Method: DFT, GGA-PBEsol
State: optimized geometry

a b c (Å): 4.9140 4.9140 4.9140
angles (deg): 60.00 60.00 60.00
Atoms (fractional coordinates):
Ag (0.0000, 0.0000, 0.0000)
Sb (0.5000, 0.5000, 0.5000)
Cl (0.2500, 0.2500, 0.2500)
Cl (0.7500, 0.7500, 0.7500)

DOS(E_F) (states/eV/atom): 0.51
Crystal system: cubic
Energy relative to the elements, uncorrected (meV per atom): 64
SG: Fm-3m (225)
ΔE to the lowest computed polymorph (meV per atom): 368

# 17
Material: AgSbCl2
Method: DFT, GGA-PBEsol
State: optimized geometry

a b c (Å): 3.1842 3.1842 8.1704
angles (deg): 90.00 90.00 90.00
Atoms (fractional coordinates):
Ag (0.0000, 0.0000, 0.0000)
Sb (0.0000, 0.0000, 0.5000)
Cl (0.5000, 0.5000, 0.2114)
Cl (0.5000, 0.5000, 0.7886)

DOS(E_F) (states/eV/atom): 0.26
Crystal system: tetragonal
Energy relative to the elements, uncorrected (meV per atom): -133
SG: P4/mmm (123)
ΔE to the lowest computed polymorph (meV per atom): 171

# 18
Material: AgSb2Cl
Method: DFT, GGA-PBEsol
State: optimized geometry

a b c (Å): 4.3951 4.3951 7.7042
angles (deg): 93.29 93.29 41.68
Atoms (fractional coordinates):
Ag (0.0000, 0.0000, 0.0000)
Sb (0.3016, 0.3016, 0.2065)
Sb (0.6984, 0.6984, 0.7935)
Cl (0.5000, 0.5000, 0.5000)

DOS(E_F) (states/eV/atom): 0.34
Crystal system: monoclinic
Energy relative to the elements, uncorrected (meV per atom): -78
SG: C2/m (12)
ΔE to the lowest computed polymorph (meV per atom): 0

# 19
Material: AgSbCl2
Method: DFT, GGA-PBEsol
State: optimized geometry

a b c (Å): 7.1873 7.1873 7.1873
angles (deg): 97.65 97.65 137.21
Atoms (fractional coordinates):
Ag (0.0000, 0.0000, 0.0000)
Ag (0.7500, 0.2500, 0.5000)
Sb (0.2500, 0.7500, 0.5000)
Sb (0.5000, 0.5000, 0.0000)
Cl (0.2512, 0.6250, 0.1262)
Cl (0.3750, 0.5012, 0.6262)
Cl (0.4988, 0.1250, 0.8738)
Cl (0.8750, 0.7488, 0.3738)

Crystal system: tetragonal
Energy relative to the elements, uncorrected (meV per atom): -186
SG: I-42d (122)
ΔE to the lowest computed polymorph (meV per atom): 118

# 20
Material: ScAgCl2
Method: DFT, GGA-PBEsol
State: optimized geometry

a b c (Å): 5.6943 3.3787 6.2615
angles (deg): 90.00 116.94 90.00
Atoms (fractional coordinates):
Sc (0.0000, 0.0000, 0.0000)
Ag (0.5000, 0.0000, 0.0000)
Cl (0.1576, 0.5000, 0.3154)
Cl (0.8424, 0.5000, 0.6846)

DOS(E_F) (states/eV/atom): 0.36
Crystal system: monoclinic
Energy relative to the elements, uncorrected (meV per atom): -977
SG: P2/m (10)
ΔE to the lowest computed polymorph (meV per atom): 0